Entry 1:
This record from Alexandria via LeMat-Bulk describes a geometry-optimized CsHfNb3 structure. The functional is PBE.

Results
crystal system: cubic
offset from the most stable computed form: 630.8 meV/atom

abc: 5.0021 5.0021 5.0021
angles: 90.00 90.00 90.00
Element x y z (fractional)
Cs1 0.0000 0.0000 0.0000
Hf1 0.5000 0.5000 0.5000
Nb1 0.0000 0.0000 0.5000
Nb2 0.0000 0.5000 0.0000
Nb3 0.5000 0.0000 0.0000

***

Entry 2:
This record from Alexandria via LeMat-Bulk describes a geometry-optimized LiHgPtPb2 structure. The functional is PBE.

Results
crystal system: tetragonal
uncorrected energy: -3.21 eV per atom

abc: 5.3686 5.3686 4.8828
angles: 90.00 90.00 90.00
Element x y z (fractional)
Li1 0.0000 0.0000 0.0000
Hg1 0.5000 0.5000 0.0000
Pt1 0.0000 0.0000 0.5000
Pb1 0.0000 0.5000 0.5000
Pb2 0.5000 0.0000 0.5000

***

Entry 3:
This record from Alexandria via LeMat-Bulk describes a geometry-optimized PmSnSbO6 structure. The functional is PBE.

Results
crystal system: trigonal
E_form (uncorrected): -2.1219 eV/atom

abc: 5.3789 5.3789 10.1543
angles: 90.00 90.00 120.00
Element x y z (fractional)
Pm1 0.0000 0.0000 0.0000
Pm2 0.0000 0.0000 0.5000
Sn1 0.3333 0.6667 0.2500
Sn2 0.6667 0.3333 0.7500
Sb1 0.3333 0.6667 0.7500
Sb2 0.6667 0.3333 0.2500
O1 0.0109 0.3667 0.6394
O2 0.0109 0.6443 0.8606
O3 0.3557 0.3667 0.8606
O4 0.3557 0.9891 0.6394
O5 0.3667 0.0109 0.1394
O6 0.3667 0.3557 0.3606
O7 0.6333 0.6443 0.6394
O8 0.6333 0.9891 0.8606
O9 0.6443 0.0109 0.3606
O10 0.6443 0.6333 0.1394
O11 0.9891 0.3557 0.1394
O12 0.9891 0.6333 0.3606

***

Entry 4:
This record from Alexandria via LeMat-Bulk describes a geometry-optimized MnGa2Ag structure. The functional is PBE.

Results
crystal system: tetragonal
offset from the most stable computed form: 50.1 meV/atom

abc: 4.0756 4.0756 3.7793
angles: 90.00 90.00 90.00
Element x y z (fractional)
Mn1 0.0000 0.0000 0.0000
Ga1 0.0000 0.5000 0.5000
Ga2 0.5000 0.0000 0.5000
Ag1 0.5000 0.5000 0.0000

***

Number 1: DOS at the Fermi energy 2.087 states/eV per atom. Number 2: DOS at the Fermi energy 0.621 states/eV per atom. Number 3: DOS at the Fermi energy 0.000 states/eV per atom. Number 4: DOS at the Fermi energy 0.428 states/eV per atom.